No. 1
Crystalline Ba6RhAu at its relaxed geometry, computed with GGA-PBE.

Space group: No. 163
Energy of formation: -300 meV per atom

Cell and atoms, written as POSCAR:
```
Ba6RhAu
1.0
7.892 0.000 0.000
-3.946 6.835 0.000
0.000 0.000 15.164
Ba Rh Au
12 2 2
direct
0.002 0.321 0.120
0.002 0.681 0.380
0.319 0.321 0.380
0.319 0.998 0.120
0.321 0.002 0.620
0.321 0.319 0.880
0.679 0.681 0.120
0.679 0.998 0.380
0.681 0.002 0.880
0.681 0.679 0.620
0.998 0.319 0.620
0.998 0.679 0.880
0.000 0.000 0.000
0.000 0.000 0.500
0.333 0.667 0.250
0.667 0.333 0.750
```


No. 2
Crystalline CrMo2Au at its relaxed geometry, computed with GGA-PBE.

Space group: No. 99
Energy of formation: 251 meV per atom

Cell and atoms, written as POSCAR:
```
CrMo2Au
1.0
3.204 0.000 0.000
0.000 3.204 0.000
0.000 0.000 6.120
Cr Mo Au
1 2 1
direct
0.000 0.000 0.000
0.000 0.000 0.454
0.500 0.500 0.219
0.500 0.500 0.742
```


No. 3
Crystalline AcPm2SmEr5 at its relaxed geometry, computed with GGA-PBE.

Space group: No. 140
Energy of formation: 253 meV per atom

Cell and atoms, written as POSCAR:
```
AcPm2SmEr5
1.0
-4.407 4.407 7.772
4.407 -4.407 7.772
4.407 4.407 -7.772
Ac Pm Sm Er
2 4 2 10
direct
0.250 0.250 0.000
0.750 0.750 0.000
0.116 0.616 0.733
0.384 0.116 0.500
0.616 0.884 0.500
0.884 0.384 0.267
0.250 0.750 0.500
0.750 0.250 0.500
0.000 0.000 0.000
0.075 0.162 0.500
0.162 0.662 0.087
0.338 0.425 0.500
0.425 0.925 0.087
0.500 0.500 0.000
0.575 0.075 0.913
0.662 0.575 0.500
0.838 0.338 0.913
0.925 0.838 0.500
```


Number 1: total magnetic moment 0.00 μB per cell. Number 2: total magnetic moment 1.90 μB per cell. Number 3: total magnetic moment 0.00 μB per cell.